1.
Entry from Alexandria via LeMat-Bulk: an optimized crystal structure of TlZnSb2 (PBE).

Computed properties:
volume	471	Å³/cell
N(E_F)	6.55	states/eV/cell
mass density	7246	kg/m³
raw formation energy	0.011	eV/atom

Cell: 27.353 4.153 4.142 Å, 90.00 90.00 90.00°
Sites, in units of the cell vectors:
Tl 0.113 0.250 0.247
Tl 0.387 0.750 0.747
Tl 0.613 0.250 0.253
Tl 0.887 0.750 0.753
Zn 0.250 0.250 0.746
Zn 0.250 0.750 0.246
Zn 0.750 0.250 0.754
Zn 0.750 0.750 0.254
Sb 0.016 0.250 0.750
Sb 0.184 0.750 0.747
Sb 0.316 0.250 0.247
Sb 0.484 0.750 0.250
Sb 0.516 0.250 0.750
Sb 0.684 0.750 0.753
Sb 0.816 0.250 0.253
Sb 0.984 0.750 0.250


2.
Entry from Alexandria via LeMat-Bulk: an optimized crystal structure of Tl2ZnSb2 (PBE).

Computed properties:
volume	162	Å³/cell
N(E_F)	2.73	states/eV/cell
mass density	7340	kg/m³
raw formation energy	0.224	eV/atom

Cell: 6.084 6.084 6.084 Å, 118.66 118.66 92.34°
Sites, in units of the cell vectors:
Tl 0.250 0.750 0.500
Tl 0.750 0.250 0.500
Zn 0.000 0.000 0.000
Sb 0.320 0.320 0.000
Sb 0.680 0.680 0.000


3.
Entry from Alexandria via LeMat-Bulk: an optimized crystal structure of TlZnSb2 (PBE).

Computed properties:
volume	103	Å³/cell
N(E_F)	0.86	states/eV/cell
mass density	8292	kg/m³
raw formation energy	0.205	eV/atom

Cell: 10.233 10.233 10.233 Å, 19.35 19.35 19.35°
Sites, in units of the cell vectors:
Tl 0.000 0.000 0.000
Zn 0.744 0.744 0.744
Sb 0.245 0.245 0.245
Sb 0.480 0.480 0.480


4.
Entry from Alexandria via LeMat-Bulk: an optimized crystal structure of TlZn2Sb (PBE).

Computed properties:
volume	97	Å³/cell
N(E_F)	1.37	states/eV/cell
mass density	7824	kg/m³
raw formation energy	0.144	eV/atom

Cell: 3.460 4.484 6.251 Å, 90.00 90.08 90.00°
Sites, in units of the cell vectors:
Tl 0.000 0.000 0.000
Zn 0.499 0.500 0.782
Zn 0.501 0.500 0.218
Sb 0.500 0.000 0.500


5.
Entry from Alexandria via LeMat-Bulk: an optimized crystal structure of TlZn2Sb (PBE).

Computed properties:
volume	93	Å³/cell
N(E_F)	2.08	states/eV/cell
mass density	8139	kg/m³
raw formation energy	0.182	eV/atom

Cell: 9.448 9.448 9.448 Å, 20.81 20.81 20.81°
Sites, in units of the cell vectors:
Tl 0.000 0.000 0.000
Zn 0.483 0.483 0.483
Zn 0.753 0.753 0.753
Sb 0.228 0.228 0.228


6.
Entry from Alexandria via LeMat-Bulk: an optimized crystal structure of Tl3ZnSb3 (PBE).

Computed properties:
volume	429	Å³/cell
N(E_F)	2.10	states/eV/cell
mass density	8072	kg/m³
raw formation energy	0.010	eV/atom

Cell: 6.651 6.651 14.970 Å, 109.18 109.18 43.90°
Sites, in units of the cell vectors:
Tl 0.005 0.005 0.351
Tl 0.098 0.098 0.914
Tl 0.267 0.267 0.231
Tl 0.733 0.733 0.769
Tl 0.902 0.902 0.086
Tl 0.995 0.995 0.649
Zn 0.220 0.220 0.595
Zn 0.780 0.780 0.405
Sb 0.374 0.374 0.483
Sb 0.377 0.377 0.940
Sb 0.413 0.413 0.757
Sb 0.587 0.587 0.243
Sb 0.623 0.623 0.060
Sb 0.626 0.626 0.517


7.
Entry from Alexandria via LeMat-Bulk: an optimized crystal structure of TlZnSb2 (PBE).

Computed properties:
volume	103	Å³/cell
N(E_F)	2.10	states/eV/cell
mass density	8283	kg/m³
raw formation energy	0.194	eV/atom

Cell: 3.281 3.281 9.846 Å, 90.00 90.00 103.87°
Sites, in units of the cell vectors:
Tl 0.000 0.000 0.000
Zn 0.500 0.500 0.236
Sb 0.000 0.000 0.441
Sb 0.500 0.500 0.724


8.
Entry from Alexandria via LeMat-Bulk: an optimized crystal structure of TlZnSb2 (PBE).

Computed properties:
volume	104	Å³/cell
N(E_F)	1.95	states/eV/cell
mass density	8228	kg/m³
raw formation energy	0.255	eV/atom

Cell: 5.272 5.272 5.272 Å, 60.00 60.00 60.00°
Sites, in units of the cell vectors:
Tl 0.000 0.000 0.000
Zn 0.500 0.500 0.500
Sb 0.250 0.250 0.250
Sb 0.750 0.750 0.750


9.
Entry from Alexandria via LeMat-Bulk: an optimized crystal structure of Tl2ZnSb2 (PBE).

Computed properties:
volume	162	Å³/cell
N(E_F)	1.27	states/eV/cell
mass density	7338	kg/m³
raw formation energy	0.164	eV/atom

Cell: 9.215 9.215 9.215 Å, 152.87 152.87 38.74°
Sites, in units of the cell vectors:
Tl 0.099 0.099 0.000
Tl 0.901 0.901 0.000
Zn 0.500 0.500 0.000
Sb 0.250 0.750 0.500
Sb 0.750 0.250 0.500


10.
Entry from Alexandria via LeMat-Bulk: an optimized crystal structure of TlZn2Sb (PBE).

Computed properties:
volume	200	Å³/cell
N(E_F)	4.03	states/eV/cell
mass density	7605	kg/m³
raw formation energy	0.190	eV/atom

Cell: 6.397 6.397 6.397 Å, 106.32 106.32 115.98°
Sites, in units of the cell vectors:
Tl 0.000 0.000 0.000
Tl 0.750 0.250 0.500
Zn 0.150 0.625 0.025
Zn 0.375 0.400 0.525
Zn 0.600 0.125 0.975
Zn 0.875 0.850 0.475
Sb 0.250 0.750 0.500
Sb 0.500 0.500 0.000


11.
Entry from Alexandria via LeMat-Bulk: an optimized crystal structure of TlZn2Sb (PBE).

Computed properties:
volume	93	Å³/cell
N(E_F)	1.12	states/eV/cell
mass density	8157	kg/m³
raw formation energy	0.191	eV/atom

Cell: 3.335 3.335 8.620 Å, 90.00 90.00 103.99°
Sites, in units of the cell vectors:
Tl 0.000 0.000 0.000
Zn 0.500 0.500 0.258
Zn 0.500 0.500 0.742
Sb 0.000 0.000 0.500


12.
Entry from Alexandria via LeMat-Bulk: an optimized crystal structure of TlZn2Sb (PBE).

Computed properties:
volume	93	Å³/cell
N(E_F)	2.18	states/eV/cell
mass density	8123	kg/m³
raw formation energy	0.166	eV/atom

Cell: 5.093 5.093 5.093 Å, 60.00 60.00 60.00°
Sites, in units of the cell vectors:
Tl 0.000 0.000 0.000
Zn 0.250 0.250 0.250
Zn 0.750 0.750 0.750
Sb 0.500 0.500 0.500


13.
Entry from Alexandria via LeMat-Bulk: an optimized crystal structure of TlZnSb2 (PBE).

Computed properties:
volume	107	Å³/cell
N(E_F)	1.28	states/eV/cell
mass density	7942	kg/m³
raw formation energy	0.110	eV/atom

Cell: 3.838 3.838 7.285 Å, 90.00 90.00 90.00°
Sites, in units of the cell vectors:
Tl 0.000 0.000 0.000
Zn 0.000 0.000 0.500
Sb 0.500 0.500 0.305
Sb 0.500 0.500 0.695


14.
Entry from Alexandria via LeMat-Bulk: an optimized crystal structure of TlZnSb2 (PBE).

Computed properties:
volume	114	Å³/cell
N(E_F)	1.57	states/eV/cell
mass density	7503	kg/m³
raw formation energy	0.108	eV/atom

Cell: 5.186 5.186 6.245 Å, 106.21 106.21 45.22°
Sites, in units of the cell vectors:
Tl 0.000 0.000 0.000
Zn 0.500 0.500 0.500
Sb 0.227 0.227 0.671
Sb 0.773 0.773 0.329


15.
Entry from Alexandria via LeMat-Bulk: an optimized crystal structure of TlZnSb2 (PBE).

Computed properties:
volume	110	Å³/cell
N(E_F)	1.37	states/eV/cell
mass density	7716	kg/m³
raw formation energy	0.120	eV/atom

Cell: 3.219 4.129 8.336 Å, 90.00 94.41 90.00°
Sites, in units of the cell vectors:
Tl 0.000 0.000 0.000
Zn 0.570 0.500 0.229
Sb 0.162 0.000 0.439
Sb 0.227 0.500 0.694


16.
Entry from Alexandria via LeMat-Bulk: an optimized crystal structure of Tl4ZnSb (PBE).

Computed properties:
volume	189	Å³/cell
N(E_F)	4.61	states/eV/cell
mass density	8821	kg/m³
raw formation energy	0.289	eV/atom

Cell: 6.443 6.443 6.443 Å, 60.00 60.00 60.00°
Sites, in units of the cell vectors:
Tl 0.125 0.125 0.125
Tl 0.125 0.125 0.624
Tl 0.125 0.624 0.125
Tl 0.624 0.125 0.125
Zn 0.750 0.750 0.750
Sb 0.500 0.500 0.500


17.
Entry from Alexandria via LeMat-Bulk: an optimized crystal structure of Tl2ZnSb2 (PBE).

Computed properties:
volume	164	Å³/cell
N(E_F)	3.50	states/eV/cell
mass density	7250	kg/m³
raw formation energy	0.322	eV/atom

Cell: 7.669 7.669 7.669 Å, 142.72 142.72 53.74°
Sites, in units of the cell vectors:
Tl 0.250 0.750 0.500
Tl 0.750 0.250 0.500
Zn 0.000 0.000 0.000
Sb 0.393 0.393 0.000
Sb 0.607 0.607 0.000


18.
Entry from Alexandria via LeMat-Bulk: an optimized crystal structure of TlZn2Sb2 (PBE).

Computed properties:
volume	130	Å³/cell
N(E_F)	1.64	states/eV/cell
mass density	7396	kg/m³
raw formation energy	0.066	eV/atom

Cell: 6.751 6.751 6.751 Å, 139.23 139.23 59.02°
Sites, in units of the cell vectors:
Tl 0.000 0.000 0.000
Zn 0.396 0.396 0.000
Zn 0.604 0.604 0.000
Sb 0.250 0.750 0.500
Sb 0.750 0.250 0.500


19.
Entry from Alexandria via LeMat-Bulk: an optimized crystal structure of TlZnSb2 (PBE).

Computed properties:
volume	111	Å³/cell
N(E_F)	2.21	states/eV/cell
mass density	7682	kg/m³
raw formation energy	0.134	eV/atom

Cell: 7.229 7.229 7.229 Å, 35.00 35.00 35.00°
Sites, in units of the cell vectors:
Tl 0.000 0.000 0.000
Zn 0.168 0.168 0.168
Sb 0.565 0.565 0.565
Sb 0.769 0.769 0.769


20.
Entry from Alexandria via LeMat-Bulk: an optimized crystal structure of TlZn2Sb (PBE).

Computed properties:
volume	93	Å³/cell
N(E_F)	1.30	states/eV/cell
mass density	8120	kg/m³
raw formation energy	0.174	eV/atom

Cell: 4.074 4.182 5.486 Å, 90.00 90.00 90.00°
Sites, in units of the cell vectors:
Tl 0.000 0.000 0.000
Zn 0.500 0.000 0.500
Zn 0.500 0.500 0.000
Sb 0.000 0.500 0.500


Short version: total energy = -2.96 -2.63 -2.77 -2.12 -2.08 -2.95 -2.78 -2.72 -2.69 -2.07 -2.07 -2.09 -2.86 -2.86 -2.85 -2.19 -2.53 -2.57 -2.84 -2.09 eV per atom, in the order given.